1.
## PrAlInHg (GGA-PBE)

Data for a geometry-optimized PrAlInHg structure.

Summary:
energy relative to the elements = -0.8 eV/f.u.
total DFT energy (no corrections) = -3.084 eV per atom

Structure (CIF):
```
data_PrAlInHg
_space_group_name_H-M_alt 'P 1'
_space_group_IT_number 1
_space_group_name_Hall 'P 1'
_cell_length_a 5.217
_cell_length_b 5.217
_cell_length_c 5.217
_cell_angle_alpha 60.00
_cell_angle_beta 60.00
_cell_angle_gamma 60.00
loop_
_atom_site_label
_atom_site_type_symbol
_atom_site_fract_x
_atom_site_fract_y
_atom_site_fract_z
In1 In 0.250 0.250 0.250
Hg1 Hg 0.000 0.000 0.000
Al1 Al 0.500 0.500 0.500
Pr1 Pr 0.750 0.750 0.750
```

2.
## BaTcF3 (GGA-PBE)

Data for a geometry-optimized BaTcF3 structure.

Summary:
energy relative to the lowest polymorph listed for this composition = 0.00 eV per formula unit
ΔE_f (raw) = -1758 meV per atom
total DFT energy (no corrections) = -5.338 eV per atom

Structure (CIF):
```
data_BaTcF3
_space_group_name_H-M_alt 'P 1'
_space_group_IT_number 1
_space_group_name_Hall 'P 1'
_cell_length_a 4.365
_cell_length_b 4.365
_cell_length_c 4.365
_cell_angle_alpha 90.00
_cell_angle_beta 90.00
_cell_angle_gamma 90.00
loop_
_atom_site_label
_atom_site_type_symbol
_atom_site_fract_x
_atom_site_fract_y
_atom_site_fract_z
Ba1 Ba 0.500 0.500 0.500
Tc1 Tc 0.000 0.000 0.000
F1 F 0.500 0.000 0.000
F2 F 0.000 0.000 0.500
F3 F 0.000 0.500 0.000
```

3.
## LiZrHgAu (GGA-PBE)

Data for a geometry-optimized LiZrHgAu structure.

Summary:
energy relative to the lowest polymorph listed for this composition = 0.03 eV per formula unit
energy relative to the elements = -1.5 eV/f.u.
total DFT energy (no corrections) = -3.886 eV per atom

Structure (CIF):
```
data_LiZrHgAu
_space_group_name_H-M_alt 'P 1'
_space_group_IT_number 1
_space_group_name_Hall 'P 1'
_cell_length_a 3.223
_cell_length_b 3.223
_cell_length_c 7.150
_cell_angle_alpha 90.00
_cell_angle_beta 90.00
_cell_angle_gamma 90.00
loop_
_atom_site_label
_atom_site_type_symbol
_atom_site_fract_x
_atom_site_fract_y
_atom_site_fract_z
Hg1 Hg 0.500 0.500 0.789
Li1 Li 0.000 0.000 0.561
Zr1 Zr 0.000 0.000 0.085
Au1 Au 0.500 0.500 0.350
```

- Which of these has the highest total DFT energy (no corrections)?
  PrAlInHg

- What is the total DFT energy (no corrections) in the first record?
  -3.084 eV per atom